# 1
First-principles (PBE) data for a relaxed structure of HoThC2, as listed in Alexandria via LeMat-Bulk.

Summary:
As for the total energy: -31.0 eV for the cell shown. For the formation enthalpy at 0 K, the calculation gives -0.507 eV per formula unit. Its symmetry is No. 12. Its density of states at the Fermi level is 6.67 states/eV per cell.

Lattice parameters (Å, degrees): 3.6947 3.7094 7.3420 90.48 120.26 119.90
Atoms (fractional coordinates):
Ho: 0.0000 0.5000 0.0000
Th: 0.0000 0.5000 0.5000
C: 0.9988 0.9980 0.7501
C: 0.0012 0.0020 0.2499



# 2
First-principles (PBE) data for a relaxed structure of AcCd2Ge2, as listed in Alexandria via LeMat-Bulk.

Summary:
As for the total energy: -17.1 eV for the cell shown. For the formation enthalpy at 0 K, the calculation gives -1.931 eV per formula unit. Its symmetry is No. 12. Its density of states at the Fermi level is 1.98 states/eV per cell.

Lattice parameters (Å, degrees): 4.4330 4.4330 7.0058 71.41 71.41 90.07
Atoms (fractional coordinates):
Ac: 0.0000 0.0000 0.0000
Cd: 0.2501 0.7499 0.5000
Cd: 0.7499 0.2501 0.5000
Ge: 0.6037 0.6037 0.7898
Ge: 0.3963 0.3963 0.2102